No. 1
# LiTl2Pd2 | Alexandria via LeMat-Bulk | PBE | optimized geometry
data_LiTl2Pd2
_chemical_formula_sum 'Li2 Tl4 Pd4'
_cell_length_a 7.7936
_cell_length_b 7.7936
_cell_length_c 3.3049
_cell_angle_alpha 90.00
_cell_angle_beta 90.00
_cell_angle_gamma 90.00
_space_group_name_H-M_alt 'P 1'
_space_group_IT_number 1
_space_group_name_Hall 'P 1'
loop_
_atom_site_label
_atom_site_type_symbol
_atom_site_fract_x
_atom_site_fract_y
_atom_site_fract_z
Li1 Li 0.0000 0.0000 0.0000
Li2 Li 0.5000 0.5000 0.0000
Tl1 Tl 0.1563 0.3437 0.0000
Tl2 Tl 0.3437 0.8437 0.0000
Tl3 Tl 0.6563 0.1563 0.0000
Tl4 Tl 0.8437 0.6563 0.0000
Pd1 Pd 0.1424 0.6424 0.5000
Pd2 Pd 0.3576 0.1424 0.5000
Pd3 Pd 0.6424 0.8576 0.5000
Pd4 Pd 0.8576 0.3576 0.5000
# Energy relative to the elements, meV per atom: -189
# Magnetic moment, μB per formula unit: 0.00
# Energy relative to the lowest polymorph listed for this composition, meV per atom: 79

---

No. 2
# GdDy2Se | Alexandria via LeMat-Bulk | PBE | optimized geometry
data_GdDy2Se
_chemical_formula_sum 'Gd1 Dy2 Se1'
_cell_length_a 10.5313
_cell_length_b 10.5313
_cell_length_c 10.5313
_cell_angle_alpha 20.34
_cell_angle_beta 20.34
_cell_angle_gamma 20.34
_space_group_name_H-M_alt 'P 1'
_space_group_IT_number 1
_space_group_name_Hall 'P 1'
loop_
_atom_site_label
_atom_site_type_symbol
_atom_site_fract_x
_atom_site_fract_y
_atom_site_fract_z
Gd1 Gd 0.0000 0.0000 0.0000
Dy1 Dy 0.1081 0.1081 0.1081
Dy2 Dy 0.8919 0.8919 0.8919
Se1 Se 0.5000 0.5000 0.5000
# Magnetic moment, μB per formula unit: 7.98
# Energy relative to the lowest polymorph listed for this composition, meV per atom: 103

---

No. 3
# NdErOs | Alexandria via LeMat-Bulk | PBE | optimized geometry
data_NdErOs
_chemical_formula_sum 'Nd1 Er1 Os1'
_cell_length_a 7.1428
_cell_length_b 7.1428
_cell_length_c 7.1428
_cell_angle_alpha 152.22
_cell_angle_beta 152.22
_cell_angle_gamma 39.69
_space_group_name_H-M_alt 'P 1'
_space_group_IT_number 1
_space_group_name_Hall 'P 1'
loop_
_atom_site_label
_atom_site_type_symbol
_atom_site_fract_x
_atom_site_fract_y
_atom_site_fract_z
Nd1 Nd 0.0000 0.0000 0.0000
Er1 Er 0.2500 0.2500 0.0000
Os1 Os 0.6320 0.6320 0.0000
# Energy relative to the elements, meV per atom: -147
# Magnetic moment, μB per formula unit: 0.00
# Energy relative to the lowest polymorph listed for this composition, meV per atom: 0

---

No. 4
# La6Tl2CoRh | Alexandria via LeMat-Bulk | PBE | optimized geometry
data_La6Tl2CoRh
_chemical_formula_sum 'La12 Tl4 Co2 Rh2'
_cell_length_a 7.7019
_cell_length_b 10.8231
_cell_length_c 7.7023
_cell_angle_alpha 90.00
_cell_angle_beta 90.00
_cell_angle_gamma 90.00
_space_group_name_H-M_alt 'P 1'
_space_group_IT_number 1
_space_group_name_Hall 'P 1'
loop_
_atom_site_label
_atom_site_type_symbol
_atom_site_fract_x
_atom_site_fract_y
_atom_site_fract_z
La1 La 0.0040 0.2500 0.0051
La2 La 0.0048 0.2500 0.4963
La3 La 0.2500 0.0073 0.2501
La4 La 0.2500 0.4927 0.2501
La5 La 0.4952 0.2500 0.4963
La6 La 0.4960 0.2500 0.0051
La7 La 0.5040 0.7500 0.9949
La8 La 0.5048 0.7500 0.5037
La9 La 0.7500 0.5073 0.7499
La10 La 0.7500 0.9927 0.7499
La11 La 0.9952 0.7500 0.5037
La12 La 0.9960 0.7500 0.9949
Tl1 Tl 0.2500 0.0000 0.7498
Tl2 Tl 0.2500 0.5000 0.7498
Tl3 Tl 0.7500 0.0000 0.2502
Tl4 Tl 0.7500 0.5000 0.2502
Co1 Co 0.2500 0.2500 0.2504
Co2 Co 0.7500 0.7500 0.7496
Rh1 Rh 0.2500 0.7500 0.2501
Rh2 Rh 0.7500 0.2500 0.7499
# Energy relative to the elements, meV per atom: -333
# Magnetic moment, μB per formula unit: 0.00

---

No. 5
# Cs2MnS4 | Alexandria via LeMat-Bulk | PBE | optimized geometry
data_Cs2MnS4
_chemical_formula_sum 'Cs4 Mn2 S8'
_cell_length_a 7.3340
_cell_length_b 6.9693
_cell_length_c 10.2971
_cell_angle_alpha 90.00
_cell_angle_beta 106.41
_cell_angle_gamma 90.00
_space_group_name_H-M_alt 'P 1'
_space_group_IT_number 1
_space_group_name_Hall 'P 1'
loop_
_atom_site_label
_atom_site_type_symbol
_atom_site_fract_x
_atom_site_fract_y
_atom_site_fract_z
Cs1 Cs 0.2019 0.2500 0.4348
Cs2 Cs 0.2796 0.2500 0.9681
Cs3 Cs 0.7204 0.7500 0.0319
Cs4 Cs 0.7981 0.7500 0.5652
Mn1 Mn 0.3200 0.7500 0.2255
Mn2 Mn 0.6800 0.2500 0.7745
S1 S 0.1150 0.7500 0.3295
S2 S 0.1939 0.7500 0.0184
S3 S 0.4902 0.5092 0.2763
S4 S 0.4902 0.9908 0.2763
S5 S 0.5098 0.0092 0.7237
S6 S 0.5098 0.4908 0.7237
S7 S 0.8061 0.2500 0.9816
S8 S 0.8850 0.2500 0.6705
# Magnetic moment, μB per formula unit: 1.00
# Uncorrected energy, eV for the cell shown: -65.34

---

No. 6
# ZnCoBi3 | Alexandria via LeMat-Bulk | PBE | optimized geometry
data_ZnCoBi3
_chemical_formula_sum 'Zn1 Co1 Bi3'
_cell_length_a 5.2926
_cell_length_b 5.2926
_cell_length_c 5.2926
_cell_angle_alpha 90.00
_cell_angle_beta 90.00
_cell_angle_gamma 90.00
_space_group_name_H-M_alt 'P 1'
_space_group_IT_number 1
_space_group_name_Hall 'P 1'
loop_
_atom_site_label
_atom_site_type_symbol
_atom_site_fract_x
_atom_site_fract_y
_atom_site_fract_z
Zn1 Zn 0.0000 0.0000 0.0000
Co1 Co 0.5000 0.5000 0.5000
Bi1 Bi 0.0000 0.0000 0.5000
Bi2 Bi 0.0000 0.5000 0.0000
Bi3 Bi 0.5000 0.0000 0.0000
# Energy relative to the elements, meV per atom: 1133
# Magnetic moment, μB per formula unit: 0.00

---

No. 7
# Sm3Tm2ScS6 | Alexandria via LeMat-Bulk | PBE | optimized geometry
data_Sm3Tm2ScS6
_chemical_formula_sum 'Sm3 Tm2 Sc1 S6'
_cell_length_a 6.7144
_cell_length_b 6.7144
_cell_length_c 6.8505
_cell_angle_alpha 99.39
_cell_angle_beta 99.39
_cell_angle_gamma 120.19
_space_group_name_H-M_alt 'P 1'
_space_group_IT_number 1
_space_group_name_Hall 'P 1'
loop_
_atom_site_label
_atom_site_type_symbol
_atom_site_fract_x
_atom_site_fract_y
_atom_site_fract_z
Sm1 Sm 0.0000 0.0000 0.0000
Sm2 Sm 0.3315 0.6685 0.0000
Sm3 Sm 0.6685 0.3315 0.0000
Tm1 Tm 0.1663 0.8337 0.5000
Tm2 Tm 0.8337 0.1663 0.5000
Sc1 Sc 0.5000 0.5000 0.5000
S1 S 0.0958 0.4238 0.2701
S2 S 0.2497 0.2497 0.7321
S3 S 0.4238 0.0958 0.2701
S4 S 0.5762 0.9042 0.7299
S5 S 0.7503 0.7503 0.2679
S6 S 0.9042 0.5762 0.7299
# Magnetic moment, μB per formula unit: 0.00
# Uncorrected energy, eV for the cell shown: -77.80

---

No. 8
# BiPb3Cl | Alexandria via LeMat-Bulk | PBE | optimized geometry
data_BiPb3Cl
_chemical_formula_sum 'Bi1 Pb3 Cl1'
_cell_length_a 6.1273
_cell_length_b 6.1273
_cell_length_c 6.1273
_cell_angle_alpha 90.00
_cell_angle_beta 90.00
_cell_angle_gamma 90.00
_space_group_name_H-M_alt 'P 1'
_space_group_IT_number 1
_space_group_name_Hall 'P 1'
loop_
_atom_site_label
_atom_site_type_symbol
_atom_site_fract_x
_atom_site_fract_y
_atom_site_fract_z
Bi1 Bi 0.0000 0.0000 0.0000
Pb1 Pb 0.0000 0.0000 0.5000
Pb2 Pb 0.0000 0.5000 0.0000
Pb3 Pb 0.5000 0.0000 0.0000
Cl1 Cl 0.5000 0.5000 0.5000
# Magnetic moment, μB per formula unit: 0.00
# Energy relative to the lowest polymorph listed for this composition, meV per atom: 586

---

No. 9
# LaAuBr2 | Alexandria via LeMat-Bulk | PBE | optimized geometry
data_LaAuBr2
_chemical_formula_sum 'La1 Au1 Br2'
_cell_length_a 5.9269
_cell_length_b 4.4030
_cell_length_c 7.5915
_cell_angle_alpha 90.00
_cell_angle_beta 112.78
_cell_angle_gamma 90.00
_space_group_name_H-M_alt 'P 1'
_space_group_IT_number 1
_space_group_name_Hall 'P 1'
loop_
_atom_site_label
_atom_site_type_symbol
_atom_site_fract_x
_atom_site_fract_y
_atom_site_fract_z
La1 La 0.0000 0.0000 0.0000
Au1 Au 0.5000 0.0000 0.0000
Br1 Br 0.1406 0.5000 0.2810
Br2 Br 0.8594 0.5000 0.7190
# Magnetic moment, μB per formula unit: 0.00
# Energy relative to the lowest polymorph listed for this composition, meV per atom: 88

---

No. 10
# Ta4Pt5 | Alexandria via LeMat-Bulk | PBE | optimized geometry
data_Ta4Pt5
_chemical_formula_sum 'Ta8 Pt10'
_cell_length_a 7.9580
_cell_length_b 7.9580
_cell_length_c 5.5059
_cell_angle_alpha 90.00
_cell_angle_beta 90.00
_cell_angle_gamma 120.00
_space_group_name_H-M_alt 'P 1'
_space_group_IT_number 1
_space_group_name_Hall 'P 1'
loop_
_atom_site_label
_atom_site_type_symbol
_atom_site_fract_x
_atom_site_fract_y
_atom_site_fract_z
Ta1 Ta 0.0000 0.0000 0.0000
Ta2 Ta 0.0000 0.0000 0.5000
Ta3 Ta 0.0000 0.3331 0.2500
Ta4 Ta 0.0000 0.6669 0.7500
Ta5 Ta 0.3331 0.0000 0.2500
Ta6 Ta 0.3331 0.3331 0.7500
Ta7 Ta 0.6669 0.0000 0.7500
Ta8 Ta 0.6669 0.6669 0.2500
Pt1 Pt 0.0000 0.3306 0.7500
Pt2 Pt 0.0000 0.6694 0.2500
Pt3 Pt 0.3306 0.0000 0.7500
Pt4 Pt 0.3306 0.3306 0.2500
Pt5 Pt 0.3333 0.6667 0.0000
Pt6 Pt 0.3333 0.6667 0.5000
Pt7 Pt 0.6667 0.3333 0.0000
Pt8 Pt 0.6667 0.3333 0.5000
Pt9 Pt 0.6694 0.0000 0.2500
Pt10 Pt 0.6694 0.6694 0.7500
# Energy relative to the elements, meV per atom: -547
# Magnetic moment, μB per formula unit: 0.00
# Energy relative to the lowest polymorph listed for this composition, meV per atom: 0

---

No. 11
# CaHfRuRh | Alexandria via LeMat-Bulk | PBE | optimized geometry
data_CaHfRuRh
_chemical_formula_sum 'Ca1 Hf1 Ru1 Rh1'
_cell_length_a 4.6676
_cell_length_b 4.6676
_cell_length_c 4.6676
_cell_angle_alpha 60.00
_cell_angle_beta 60.00
_cell_angle_gamma 60.00
_space_group_name_H-M_alt 'P 1'
_space_group_IT_number 1
_space_group_name_Hall 'P 1'
loop_
_atom_site_label
_atom_site_type_symbol
_atom_site_fract_x
_atom_site_fract_y
_atom_site_fract_z
Ca1 Ca 0.0000 0.0000 0.0000
Hf1 Hf 0.5000 0.5000 0.5000
Ru1 Ru 0.2500 0.2500 0.2500
Rh1 Rh 0.7500 0.7500 0.7500
# Energy relative to the elements, meV per atom: -411
# Magnetic moment, μB per formula unit: 0.00

---

No. 12
# BeTlRu2 | Alexandria via LeMat-Bulk | PBE | optimized geometry
data_BeTlRu2
_chemical_formula_sum 'Be1 Tl1 Ru2'
_cell_length_a 3.0218
_cell_length_b 3.0218
_cell_length_c 6.5661
_cell_angle_alpha 90.00
_cell_angle_beta 90.00
_cell_angle_gamma 90.00
_space_group_name_H-M_alt 'P 1'
_space_group_IT_number 1
_space_group_name_Hall 'P 1'
loop_
_atom_site_label
_atom_site_type_symbol
_atom_site_fract_x
_atom_site_fract_y
_atom_site_fract_z
Be1 Be 0.0000 0.0000 0.0000
Tl1 Tl 0.5000 0.5000 0.6843
Ru1 Ru 0.0000 0.0000 0.3857
Ru2 Ru 0.5000 0.5000 0.1276
# Energy relative to the elements, meV per atom: 273
# Magnetic moment, μB per formula unit: 0.40
# Energy relative to the lowest polymorph listed for this composition, meV per atom: 0

---

No. 13
# UV2Co | Alexandria via LeMat-Bulk | PBE | optimized geometry
data_UV2Co
_chemical_formula_sum 'U1 V2 Co1'
_cell_length_a 3.7291
_cell_length_b 3.7291
_cell_length_c 4.3255
_cell_angle_alpha 90.00
_cell_angle_beta 90.00
_cell_angle_gamma 90.00
_space_group_name_H-M_alt 'P 1'
_space_group_IT_number 1
_space_group_name_Hall 'P 1'
loop_
_atom_site_label
_atom_site_type_symbol
_atom_site_fract_x
_atom_site_fract_y
_atom_site_fract_z
U1 U 0.0000 0.0000 0.0000
V1 V 0.0000 0.5000 0.5000
V2 V 0.5000 0.0000 0.5000
Co1 Co 0.5000 0.5000 0.0000
# Energy relative to the elements, meV per atom: 214
# Magnetic moment, μB per formula unit: 2.58
# Energy relative to the lowest polymorph listed for this composition, meV per atom: 23